Tl2W: relaxed, PBE.

a = 5.588 Å, b = 5.588 Å, c = 9.639 Å
α = 98.16°, β = 98.16°, γ = 30.66°
Positions (direct):
Tl (0.119, 0.119, 0.404)
Tl (0.183, 0.183, 0.842)
Tl (0.817, 0.817, 0.158)
Tl (0.881, 0.881, 0.596)
W (0.453, 0.453, 0.877)
W (0.547, 0.547, 0.123)

Calculated values
density of states at the Fermi level = 3.08 states/eV/cell
ρ = 12.96 g/cm3
space group = No. 12
energy above the lowest structure with this stoichiometry = 174 meV per atom